Compound: CsVCuF6
Source: the Alexandria database
Functional: GGA+U
Structure: optimized geometry

Cell lengths 5.397, 5.406, 6.461 Å; angles 91.31, 91.46, 116.27 degrees
Space group P1 (No. 1)
One atom of each set of equivalent atoms:
1 Cs 0.000 0.000 0.000 [1 per cell]
2 V 0.651 0.348 0.500 [1 per cell]
3 Cu 0.313 0.687 0.500 [1 per cell]
4 F 0.359 0.021 0.649 [1 per cell]
5 F 0.365 0.414 0.329 [1 per cell]
6 F 0.586 0.633 0.671 [1 per cell]
7 F 0.619 0.068 0.302 [1 per cell]
8 F 0.933 0.378 0.697 [1 per cell]
9 F 0.977 0.641 0.351 [1 per cell]

- Polymorph energy (0 for the lowest one): 14.5 meV/atom